Compound: Cu5Bi2B4O14
Source: Alexandria
Functional: PBE
Structure: optimized geometry

a = 3.633 Å, b = 9.334 Å, c = 10.243 Å
α = 67.02°, β = 81.08°, γ = 81.76°
Sites, in units of the cell vectors:
Cu  0.000  0.000  0.000
Cu  0.000  0.500  0.500
Cu  0.061  0.179  0.652
Cu  0.500  0.000  0.500
Cu  0.939  0.821  0.348
Bi  0.491  0.647  0.173
Bi  0.509  0.353  0.827
B  0.150  0.299  0.328
B  0.499  0.139  0.189
B  0.501  0.861  0.811
B  0.850  0.701  0.672
O  0.029  0.451  0.317
O  0.062  0.198  0.835
O  0.127  0.177  0.457
O  0.300  0.275  0.202
O  0.342  0.657  0.385
O  0.380  0.982  0.693
O  0.426  0.868  0.943
O  0.574  0.132  0.057
O  0.620  0.018  0.307
O  0.658  0.343  0.615
O  0.700  0.725  0.798
O  0.873  0.823  0.543
O  0.938  0.802  0.165
O  0.971  0.549  0.683

- Raw formation energy: -1.43 eV per atom

Compound: Si3W2
Source: Alexandria
Functional: PBE
Structure: optimized geometry

a = 2.932 Å, b = 2.932 Å, c = 29.641 Å
α = 90.00°, β = 90.00°, γ = 120.00°
Sites, in units of the cell vectors:
Si  0.000  0.000  0.000
Si  0.000  0.000  0.199
Si  0.000  0.000  0.801
Si  0.333  0.667  0.467
Si  0.333  0.667  0.667
Si  0.333  0.667  0.866
Si  0.667  0.333  0.134
Si  0.667  0.333  0.333
Si  0.667  0.333  0.533
W  0.000  0.000  0.402
W  0.000  0.000  0.598
W  0.333  0.667  0.068
W  0.333  0.667  0.265
W  0.667  0.333  0.735
W  0.667  0.333  0.932

- Distance to the lowest polymorph of the same formula: 131.2 meV/atom
- Raw formation energy: 0.17 eV per atom

Compound: Rb3CaCe2Se6
Source: Alexandria
Functional: PBE
Structure: optimized geometry

a = 7.566 Å, b = 7.566 Å, c = 8.344 Å
α = 98.68°, β = 98.68°, γ = 120.00°
Sites, in units of the cell vectors:
Rb  0.000  0.000  0.000
Rb  0.336  0.664  0.000
Rb  0.664  0.336  0.000
Ca  0.500  0.500  0.500
Ce  0.167  0.833  0.500
Ce  0.833  0.167  0.500
Se  0.092  0.434  0.303
Se  0.223  0.223  0.696
Se  0.434  0.092  0.303
Se  0.566  0.908  0.697
Se  0.777  0.777  0.304
Se  0.908  0.566  0.697

- Raw formation energy: -1.67 eV per atom

Compound: Ba2BeAg
Source: Alexandria
Functional: PBE
Structure: optimized geometry

a = 3.712 Å, b = 3.712 Å, c = 9.419 Å
α = 90.00°, β = 90.00°, γ = 90.00°
Sites, in units of the cell vectors:
Ba  0.000  0.000  0.000
Ba  0.500  0.500  0.414
Be  0.000  0.000  0.656
Ag  0.500  0.500  0.750

- Energy of formation: 280 meV per atom

Compound: La2SbCl
Source: Alexandria
Functional: PBE
Structure: optimized geometry

a = 7.787 Å, b = 4.401 Å, c = 14.554 Å
α = 90.00°, β = 90.00°, γ = 90.00°
Sites, in units of the cell vectors:
La  0.153  0.250  0.237
La  0.220  0.750  0.002
La  0.280  0.250  0.502
La  0.347  0.750  0.737
La  0.653  0.250  0.263
La  0.720  0.750  0.498
La  0.780  0.250  0.998
La  0.847  0.750  0.763
Sb  0.103  0.250  0.853
Sb  0.397  0.750  0.353
Sb  0.603  0.250  0.647
Sb  0.897  0.750  0.147
Cl  0.074  0.750  0.597
Cl  0.426  0.250  0.097
Cl  0.574  0.750  0.903
Cl  0.926  0.250  0.403

- Raw formation energy: -1.50 eV per atom

Compound: Pm7Te4As4
Source: Alexandria
Functional: PBE
Structure: optimized geometry

a = 11.425 Å, b = 11.425 Å, c = 11.425 Å
α = 96.52°, β = 96.52°, γ = 140.61°
Sites, in units of the cell vectors:
Pm  0.000  0.286  0.286
Pm  0.000  0.714  0.714
Pm  0.135  0.500  0.635
Pm  0.243  0.243  0.000
Pm  0.286  0.000  0.286
Pm  0.287  0.287  0.574
Pm  0.287  0.713  0.000
Pm  0.500  0.135  0.635
Pm  0.500  0.865  0.365
Pm  0.713  0.287  0.000
Pm  0.713  0.713  0.426
Pm  0.714  0.000  0.714
Pm  0.757  0.757  0.000
Pm  0.865  0.500  0.365
Te  0.126  0.126  0.252
Te  0.126  0.874  0.000
Te  0.332  0.500  0.832
Te  0.500  0.332  0.832
Te  0.500  0.668  0.168
Te  0.668  0.500  0.168
Te  0.874  0.126  0.000
Te  0.874  0.874  0.748
As  0.105  0.605  0.209
As  0.105  0.895  0.500
As  0.395  0.605  0.500
As  0.395  0.895  0.791
As  0.605  0.105  0.209
As  0.605  0.395  0.500
As  0.895  0.105  0.500
As  0.895  0.395  0.791

- Raw formation energy: -1.32 eV per atom

Compound: TcTeCl2
Source: Alexandria
Functional: PBE
Structure: optimized geometry

a = 14.207 Å, b = 3.048 Å, c = 5.249 Å
α = 90.00°, β = 111.54°, γ = 90.00°
Sites, in units of the cell vectors:
Tc  0.000  0.000  0.000
Tc  0.500  0.500  0.000
Te  0.000  0.500  0.500
Te  0.500  0.000  0.500
Cl  0.144  0.500  0.143
Cl  0.356  0.000  0.857
Cl  0.644  0.000  0.143
Cl  0.856  0.500  0.857

- Distance to the lowest polymorph of the same formula: 213.6 meV/atom
- Raw formation energy: -0.06 eV per atom

Compound: CeDy6Y4
Source: Alexandria
Functional: PBE
Structure: optimized geometry

a = 5.604 Å, b = 5.604 Å, c = 25.739 Å
α = 90.00°, β = 90.00°, γ = 118.86°
Sites, in units of the cell vectors:
Ce  0.185  0.815  0.750
Ce  0.815  0.185  0.250
Dy  0.146  0.854  0.182
Dy  0.146  0.854  0.318
Dy  0.185  0.815  0.603
Dy  0.185  0.815  0.897
Dy  0.481  0.519  0.250
Dy  0.500  0.500  0.000
Dy  0.500  0.500  0.500
Dy  0.519  0.481  0.750
Dy  0.815  0.185  0.103
Dy  0.815  0.185  0.397
Dy  0.854  0.146  0.682
Dy  0.854  0.146  0.818
Y  0.159  0.841  0.042
Y  0.159  0.841  0.458
Y  0.477  0.523  0.122
Y  0.477  0.523  0.378
Y  0.523  0.477  0.622
Y  0.523  0.477  0.878
Y  0.841  0.159  0.542
Y  0.841  0.159  0.958

- Energy of formation: 148 meV per atom

| no. | V (Å³ per atom) |
| --- | --- |
| 1 | 12.6 |
| 2 | 14.7 |
| 3 | 32.9 |
| 4 | 32.4 |
| 5 | 31.2 |
| 6 | 29.7 |
| 7 | 26.4 |
| 8 | 32.2 |